(a)
# AgMo2WN PBE optimized geometry
data_AgMo2WN
_chemical_formula_sum 'Ag1 Mo2 W1 N1'
_symmetry_space_group_name_H-M 'P 4/m m m'
_symmetry_Int_Tables_number 123
_symmetry_space_group_name_Hall '-P 4 2'
_cell_length_a 4.9533
_cell_length_b 4.9533
_cell_length_c 3.8336
_cell_angle_alpha 90.00
_cell_angle_beta 90.00
_cell_angle_gamma 90.00
loop_
_atom_site_label
_atom_site_type_symbol
_atom_site_fract_x
_atom_site_fract_y
_atom_site_fract_z
Ag1 Ag 0.0000 0.0000 0.0000
Mo1 Mo 0.0000 0.5000 0.5000
W1 W 0.5000 0.5000 0.5000
N1 N 0.5000 0.5000 0.0000
# - density of states at the Fermi level (states/eV per cell) = 7.7
# - size of the total moment (μB/f.u.) = 0.00

(b)
# AgMo2WN PBE optimized geometry
data_AgMo2WN
_chemical_formula_sum 'Ag1 Mo2 W1 N1'
_symmetry_space_group_name_H-M 'P 4/m m m'
_symmetry_Int_Tables_number 123
_symmetry_space_group_name_Hall '-P 4 2'
_cell_length_a 4.7827
_cell_length_b 4.7827
_cell_length_c 4.7738
_cell_angle_alpha 90.00
_cell_angle_beta 90.00
_cell_angle_gamma 90.00
loop_
_atom_site_label
_atom_site_type_symbol
_atom_site_fract_x
_atom_site_fract_y
_atom_site_fract_z
Ag1 Ag 0.0000 0.0000 0.0000
Mo1 Mo 0.0000 0.5000 0.0000
W1 W 0.0000 0.0000 0.5000
N1 N 0.5000 0.5000 0.5000
# - density of states at the Fermi level (states/eV per cell) = 5.5
# - size of the total moment (μB/f.u.) = 0.00

Most stable to least stable, the ends of the list are (a) and (b).

(a)
# NaAgMo3 PBE optimized geometry
data_NaAgMo3
_chemical_formula_sum 'Na1 Ag1 Mo3'
_symmetry_space_group_name_H-M 'P m -3 m'
_symmetry_Int_Tables_number 221
_symmetry_space_group_name_Hall '-P 4 2 3'
_cell_length_a 4.9018
_cell_length_b 4.9018
_cell_length_c 4.9018
_cell_angle_alpha 90.00
_cell_angle_beta 90.00
_cell_angle_gamma 90.00
loop_
_atom_site_label
_atom_site_type_symbol
_atom_site_fract_x
_atom_site_fract_y
_atom_site_fract_z
Na1 Na 0.0000 0.0000 0.0000
Ag1 Ag 0.5000 0.5000 0.5000
Mo1 Mo 0.0000 0.5000 0.5000
# - density of states at the Fermi level (states/eV per cell) = 5.3
# - size of the total moment (μB/f.u.) = 0.00

(b)
# NaAgMo3 PBE optimized geometry
data_NaAgMo3
_chemical_formula_sum 'Na1 Ag1 Mo3'
_symmetry_space_group_name_H-M 'P m -3 m'
_symmetry_Int_Tables_number 221
_symmetry_space_group_name_Hall '-P 4 2 3'
_cell_length_a 4.5311
_cell_length_b 4.5311
_cell_length_c 4.5311
_cell_angle_alpha 90.00
_cell_angle_beta 90.00
_cell_angle_gamma 90.00
loop_
_atom_site_label
_atom_site_type_symbol
_atom_site_fract_x
_atom_site_fract_y
_atom_site_fract_z
Na1 Na 0.0000 0.0000 0.0000
Ag1 Ag 0.5000 0.5000 0.5000
Mo1 Mo 0.0000 0.0000 0.5000
# - density of states at the Fermi level (states/eV per cell) = 4.2
# - size of the total moment (μB/f.u.) = 0.00

Most stable to least stable, the ends of the list are (a) and (b).

(a)
# Nb2AgMo PBE optimized geometry
data_Nb2AgMo
_chemical_formula_sum 'Nb8 Ag4 Mo4'
_symmetry_space_group_name_H-M 'I -4 2 d'
_symmetry_Int_Tables_number 122
_symmetry_space_group_name_Hall 'I -4 2bw'
_cell_length_a 7.3204
_cell_length_b 7.3204
_cell_length_c 5.6082
_cell_angle_alpha 90.00
_cell_angle_beta 90.00
_cell_angle_gamma 90.00
loop_
_atom_site_label
_atom_site_type_symbol
_atom_site_fract_x
_atom_site_fract_y
_atom_site_fract_z
Nb1 Nb 0.2336 0.2500 0.1250
Ag1 Ag 0.0000 0.0000 0.5000
Mo1 Mo 0.0000 0.0000 0.0000
# - density of states at the Fermi level (states/eV per cell) = 14.2
# - size of the total moment (μB/f.u.) = 0.00

(b)
# Nb2AgMo PBE optimized geometry
data_Nb2AgMo
_chemical_formula_sum 'Nb8 Ag4 Mo4'
_symmetry_space_group_name_H-M 'F m -3 m'
_symmetry_Int_Tables_number 225
_symmetry_space_group_name_Hall '-F 4 2 3'
_cell_length_a 6.5507
_cell_length_b 6.5507
_cell_length_c 6.5507
_cell_angle_alpha 90.00
_cell_angle_beta 90.00
_cell_angle_gamma 90.00
loop_
_atom_site_label
_atom_site_type_symbol
_atom_site_fract_x
_atom_site_fract_y
_atom_site_fract_z
Nb1 Nb 0.2500 0.2500 0.2500
Ag1 Ag 0.0000 0.0000 0.0000
Mo1 Mo 0.0000 0.0000 0.5000
# - density of states at the Fermi level (states/eV per cell) = 19.7
# - size of the total moment (μB/f.u.) = 0.00

Most stable to least stable, the ends of the list are (b) and (a).

(a)
# NbAgMo3 PBE optimized geometry
data_NbAgMo3
_chemical_formula_sum 'Nb1 Ag1 Mo3'
_symmetry_space_group_name_H-M 'P m -3 m'
_symmetry_Int_Tables_number 221
_symmetry_space_group_name_Hall '-P 4 2 3'
_cell_length_a 4.7454
_cell_length_b 4.7454
_cell_length_c 4.7454
_cell_angle_alpha 90.00
_cell_angle_beta 90.00
_cell_angle_gamma 90.00
loop_
_atom_site_label
_atom_site_type_symbol
_atom_site_fract_x
_atom_site_fract_y
_atom_site_fract_z
Nb1 Nb 0.0000 0.0000 0.0000
Ag1 Ag 0.5000 0.5000 0.5000
Mo1 Mo 0.0000 0.0000 0.5000
# - density of states at the Fermi level (states/eV per cell) = 3.9
# - size of the total moment (μB/f.u.) = 0.00

(b)
# NbAgMo3 PBE optimized geometry
data_NbAgMo3
_chemical_formula_sum 'Nb1 Ag1 Mo3'
_symmetry_space_group_name_H-M 'P m -3 m'
_symmetry_Int_Tables_number 221
_symmetry_space_group_name_Hall '-P 4 2 3'
_cell_length_a 4.7424
_cell_length_b 4.7424
_cell_length_c 4.7424
_cell_angle_alpha 90.00
_cell_angle_beta 90.00
_cell_angle_gamma 90.00
loop_
_atom_site_label
_atom_site_type_symbol
_atom_site_fract_x
_atom_site_fract_y
_atom_site_fract_z
Nb1 Nb 0.0000 0.0000 0.0000
Ag1 Ag 0.5000 0.5000 0.5000
Mo1 Mo 0.0000 0.5000 0.5000
# - density of states at the Fermi level (states/eV per cell) = 10.1
# - size of the total moment (μB/f.u.) = 0.00

Most stable to least stable, the ends of the list are (a) and (b).